Material: Be2SiIr
Method: DFT, PBE-GGA
State: optimized geometry

## Properties
* energy relative to the elements, uncorrected: 0.04 eV per atom

Cell lengths 7.4801, 7.4801, 7.4801 Å; angles 21.16, 21.16, 21.16 degrees
Last column: nearest neighbours and their distance in Å.
Fractional coordinates of all 4 atoms:
Be  0.5035  0.5035  0.5035  3 Ir 2.36, 3 Si 2.48
Si  0.7500  0.7500  0.7500  6 Be 2.48, 6 Si 2.75
Ir  0.2500  0.2500  0.2500  6 Be 2.36
Be  0.9965  0.9965  0.9965  3 Ir 2.36, 3 Si 2.48


Material: BaTiGa2O6
Method: DFT, PBE-GGA
State: optimized geometry

## Properties
* energy relative to the elements, uncorrected: -2.39 eV per atom

Cell lengths 6.6734, 7.6048, 7.6048 Å; angles 79.93, 66.86, 66.86 degrees
Last column: nearest neighbours and their distance in Å.
Fractional coordinates of all 20 atoms:
O  0.0103  0.6057  0.1858  1 Ti 1.80, 1 Ga 1.87
Ga  0.6606  0.2388  0.3477  4 O 1.87-1.90
O  0.6871  0.8069  0.9791  1 Ti 1.83, 1 Ga 1.89
Ba  0.7500  0.1950  0.8050  4 O 2.63-2.73
Ga  0.8394  0.6523  0.7612  4 O 1.87-1.90
O  0.4171  0.3843  0.2590  2 Ga 1.87-1.90
O  0.1871  0.9791  0.8069  1 Ti 1.83, 1 Ga 1.89
O  0.5103  0.1858  0.6057  1 Ti 1.80, 1 Ga 1.87
O  0.4897  0.8142  0.3943  1 Ti 1.80, 1 Ga 1.87
Ti  0.7500  0.8079  0.1921  4 O 1.80-1.83
O  0.0829  0.7410  0.6157  2 Ga 1.87-1.90
O  0.8129  0.0209  0.1931  1 Ti 1.83, 1 Ga 1.89
Ga  0.3394  0.7612  0.6523  4 O 1.87-1.90
O  0.5829  0.6157  0.7410  2 Ga 1.87-1.90
O  0.3129  0.1931  0.0209  1 Ti 1.83, 1 Ga 1.89
Ba  0.2500  0.8050  0.1950  4 O 2.63-2.73
O  0.9897  0.3943  0.8142  1 Ti 1.80, 1 Ga 1.87
Ti  0.2500  0.1921  0.8079  4 O 1.80-1.83
Ga  0.1606  0.3477  0.2388  4 O 1.87-1.90
O  0.9171  0.2590  0.3843  2 Ga 1.87-1.90


Material: BaPr4Sn4
Method: DFT, PBE-GGA
State: optimized geometry

## Properties
* formation energy: -0.55 eV per atom

Cell lengths 6.3619, 10.5656, 10.5656 Å; angles 90.00, 90.00, 90.00 degrees
Last column: nearest neighbours and their distance in Å.
Fractional coordinates of all 18 atoms:
Pr  0.1107  0.8668  0.3815  5 Sn 3.18-3.37
Pr  0.8893  0.3815  0.1332  5 Sn 3.18-3.37
Pr  0.8893  0.6185  0.8668  5 Sn 3.18-3.37
Sn  0.0957  0.1705  0.3161  1 Sn 2.94, 4 Pr 3.18-3.28
Sn  0.9043  0.3161  0.8295  1 Sn 2.94, 4 Pr 3.18-3.28
Sn  0.0957  0.8295  0.6839  1 Sn 2.94, 4 Pr 3.18-3.28
Sn  0.5957  0.1839  0.6705  1 Sn 2.94, 4 Pr 3.18-3.28
Sn  0.5957  0.8161  0.3295  1 Sn 2.94, 4 Pr 3.18-3.28
Ba  0.5000  0.5000  0.5000  4 Sn 3.84
Sn  0.9043  0.6839  0.1705  1 Sn 2.94, 4 Pr 3.18-3.28
Pr  0.1107  0.1332  0.6185  5 Sn 3.18-3.37
Pr  0.6107  0.1185  0.3668  5 Sn 3.18-3.37
Sn  0.4043  0.6705  0.8161  1 Sn 2.94, 4 Pr 3.18-3.28
Ba  0.0000  0.0000  0.0000  4 Sn 3.84
Pr  0.3893  0.6332  0.1185  5 Sn 3.18-3.37
Sn  0.4043  0.3295  0.1839  1 Sn 2.94, 4 Pr 3.18-3.28
Pr  0.6107  0.8815  0.6332  5 Sn 3.18-3.37
Pr  0.3893  0.3668  0.8815  5 Sn 3.18-3.37


Material: ZrPdW3
Method: DFT, PBE-GGA
State: optimized geometry

## Properties
* ΔE to the lowest computed polymorph: 63.3 kJ per mole of atoms
* formation energy: 2.56 eV per atom

Cell lengths 4.7633, 4.7633, 4.7633 Å; angles 90.00, 90.00, 90.00 degrees
Last column: nearest neighbours and their distance in Å.
Fractional coordinates of all 5 atoms:
Pd  0.5000  0.5000  0.5000  12 W 3.37
W  0.0000  0.5000  0.0000  2 Zr 2.38
W  0.0000  0.0000  0.5000  2 Zr 2.38
W  0.5000  0.0000  0.0000  2 Zr 2.38
Zr  0.0000  0.0000  0.0000  6 W 2.38


Material: MgPb2Se
Method: DFT, PBE-GGA
State: optimized geometry

## Properties
* energy relative to the elements, uncorrected: -0.37 eV per atom

Cell lengths 8.7205, 8.7205, 8.7205 Å; angles 26.16, 26.16, 26.16 degrees
Last column: nearest neighbours and their distance in Å.
Fractional coordinates of all 4 atoms:
Pb  0.0066  0.0066  0.0066  3 Mg 3.30, 3 Pb 3.37
Pb  0.2419  0.2419  0.2419  3 Se 3.24, 3 Pb 3.37
Se  0.4839  0.4839  0.4839  3 Mg 2.60
Mg  0.7676  0.7676  0.7676  3 Se 2.60


Material: Ac4SnRh2
Method: DFT, PBE-GGA
State: optimized geometry

## Properties
* ΔE to the lowest computed polymorph: 2.8 kJ per mole of atoms
* formation energy: -0.60 eV per atom

Cell lengths 9.3630, 9.3630, 7.4963 Å; angles 107.57, 107.57, 121.07 degrees
Last column: nearest neighbours and their distance in Å.
Fractional coordinates of all 14 atoms:
Ac  0.8053  0.6273  0.0853  2 Rh 2.92-2.99
Rh  0.8283  0.8909  0.4596  1 Sn 2.85, 4 Ac 2.90-3.12
Ac  0.7808  0.1815  0.7878  2 Rh 2.90-3.13
Rh  0.6476  0.2171  0.1225  5 Ac 2.92-3.14
Ac  0.8774  0.5552  0.5853  2 Rh 2.92-2.99
Rh  0.1408  0.5781  0.9595  1 Sn 2.85, 4 Ac 2.90-3.12
Sn  0.2018  0.6811  0.3906  1 Rh 2.85
Ac  0.3394  0.0263  0.2312  3 Rh 3.03-3.12
Ac  0.4316  0.5310  0.2879  2 Rh 2.90-3.13
Ac  0.4914  0.7814  0.9230  2 Rh 2.98-3.14
Ac  0.2763  0.0894  0.7313  3 Rh 3.03-3.12
Ac  0.0314  0.2414  0.4230  2 Rh 2.98-3.14
Sn  0.9310  0.9517  0.8906  1 Rh 2.85
Rh  0.4671  0.3977  0.6224  5 Ac 2.92-3.14


Material: Cs2LiWS4
Method: DFT, PBE-GGA
State: optimized geometry

## Properties
* energy relative to the elements, uncorrected: -1.00 eV per atom

Cell lengths 5.9137, 7.7108, 12.9093 Å; angles 84.96, 76.76, 67.45 degrees
Last column: nearest neighbours and their distance in Å.
Fractional coordinates of all 16 atoms:
S  0.5856  0.1828  0.1002  1 W 2.25, 1 Li 2.43
Cs  0.9262  0.5000  0.1477  8 S 3.66-3.88
S  0.2316  0.1828  0.8998  1 W 2.25, 1 Li 2.43
S  0.4357  0.6828  0.3998  1 W 2.25, 1 Li 2.43
Cs  0.1762  0.0000  0.6477  8 S 3.66-3.88
S  0.8685  0.8172  0.8998  1 W 2.25, 1 Li 2.43
S  0.3143  0.8172  0.1002  1 W 2.25, 1 Li 2.43
Cs  0.8238  0.0000  0.3523  8 S 3.66-3.88
Li  0.0000  0.0000  0.0000  4 S 2.43
S  0.8815  0.6828  0.6002  1 W 2.25, 1 Li 2.43
S  0.5184  0.3172  0.6002  1 W 2.25, 1 Li 2.43
Cs  0.5738  0.5000  0.8523  8 S 3.66-3.88
Li  0.7500  0.5000  0.5000  4 S 2.43
W  0.2500  0.5000  0.5000  4 S 2.25
S  0.1644  0.3172  0.3998  1 W 2.25, 1 Li 2.43
W  0.5000  0.0000  0.0000  4 S 2.25


Material: SrNdCl5
Method: DFT, PBE-GGA
State: optimized geometry

## Properties
* energy relative to the elements, uncorrected: -2.31 eV per atom

Cell lengths 7.2711, 10.4188, 13.8007 Å; angles 90.00, 90.00, 111.70 degrees
Last column: nearest neighbours and their distance in Å.
Fractional coordinates of all 28 atoms:
Sr  0.2776  0.7445  0.9826  5 Cl 2.88-3.08
Cl  0.8492  0.4922  0.3959  1 Nd 2.77, 1 Sr 2.96
Cl  0.9783  0.5566  0.1168  1 Nd 2.80, 1 Sr 2.97
Sr  0.2224  0.7555  0.4826  5 Cl 2.88-3.08
Cl  0.8975  0.7839  0.5889  1 Nd 2.68, 1 Sr 2.89
Cl  0.0764  0.8615  0.8506  1 Nd 2.67, 1 Sr 2.88
Nd  0.2920  0.3968  0.7565  6 Cl 2.67-2.80
Sr  0.7224  0.2555  0.0174  5 Cl 2.88-3.08
Cl  0.6025  0.7161  0.0889  1 Nd 2.68, 1 Sr 2.89
Cl  0.5046  0.6627  0.8208  2 Nd 2.77, 1 Sr 3.08
Cl  0.4783  0.0566  0.3832  1 Nd 2.80, 1 Sr 2.97
Cl  0.5764  0.3615  0.6494  1 Nd 2.67, 1 Sr 2.88
Nd  0.7920  0.8968  0.7435  6 Cl 2.67-2.80
Cl  0.5217  0.9434  0.6168  1 Nd 2.80, 1 Sr 2.97
Cl  0.9236  0.1385  0.1494  1 Nd 2.67, 1 Sr 2.88
Cl  0.9954  0.8373  0.3208  2 Nd 2.77, 1 Sr 3.08
Nd  0.7080  0.6032  0.2435  6 Cl 2.67-2.80
Cl  0.0046  0.1627  0.6792  2 Nd 2.77, 1 Sr 3.08
Nd  0.2080  0.1032  0.2565  6 Cl 2.67-2.80
Cl  0.3975  0.2839  0.9111  1 Nd 2.68, 1 Sr 2.89
Cl  0.1025  0.2161  0.4111  1 Nd 2.68, 1 Sr 2.89
Sr  0.7776  0.2445  0.5174  5 Cl 2.88-3.08
Cl  0.4236  0.6385  0.3506  1 Nd 2.67, 1 Sr 2.88
Cl  0.0217  0.4434  0.8832  1 Nd 2.80, 1 Sr 2.97
Cl  0.6508  0.0078  0.8959  1 Nd 2.77, 1 Sr 2.96
Cl  0.3492  0.9922  0.1041  1 Nd 2.77, 1 Sr 2.96
Cl  0.1508  0.5078  0.6041  1 Nd 2.77, 1 Sr 2.96
Cl  0.4954  0.3373  0.1792  2 Nd 2.77, 1 Sr 3.08


Material: CaEu2Y
Method: DFT, PBE-GGA
State: optimized geometry

## Properties
* ΔE to the lowest computed polymorph: 5.5 kJ per mole of atoms
* formation energy: 0.11 eV per atom

Cell lengths 6.0207, 6.0207, 6.0207 Å; angles 60.00, 60.00, 60.00 degrees
Last column: nearest neighbours and their distance in Å.
Fractional coordinates of all 4 atoms:
Eu  0.2500  0.2500  0.2500  4 Y 3.69, 4 Ca 3.69
Ca  0.0000  0.0000  0.0000  8 Eu 3.69
Y  0.5000  0.5000  0.5000  8 Eu 3.69
Eu  0.7500  0.7500  0.7500  4 Y 3.69, 4 Ca 3.69


Material: ThAlPd
Method: DFT, PBE-GGA
State: optimized geometry

## Properties
* formation energy: -0.80 eV per atom

Cell lengths 4.2369, 7.2638, 7.2638 Å; angles 120.00, 90.00, 90.00 degrees
Last column: nearest neighbours and their distance in Å.
Fractional coordinates of all 9 atoms:
Al  0.0000  0.2319  0.0000  4 Pd 2.71-2.86, 2 Al 2.92
Th  0.5000  0.5789  0.0000  5 Pd 3.04-3.06, 6 Al 3.29-3.40
Al  0.0000  0.0000  0.2319  4 Pd 2.71-2.86, 2 Al 2.92
Pd  0.5000  0.0000  0.0000  6 Al 2.71
Th  0.5000  0.0000  0.5789  5 Pd 3.04-3.06, 6 Al 3.29-3.40
Al  0.0000  0.7681  0.7681  4 Pd 2.71-2.86, 2 Al 2.92
Th  0.5000  0.4211  0.4211  5 Pd 3.04-3.06, 6 Al 3.29-3.40
Pd  0.0000  0.3333  0.6667  3 Al 2.86, 6 Th 3.04
Pd  0.0000  0.6667  0.3333  3 Al 2.86, 6 Th 3.04


Material: TaRuAu2
Method: DFT, PBE-GGA
State: optimized geometry

## Properties
* ΔE to the lowest computed polymorph: 20.4 kJ per mole of atoms
* formation energy: 0.13 eV per atom

Cell lengths 5.0058, 5.0058, 2.9408 Å; angles 90.00, 90.00, 114.54 degrees
Last column: nearest neighbours and their distance in Å.
Fractional coordinates of all 4 atoms:
Ta  0.0000  0.5000  0.5000  2 Ru 2.71, 8 Au 2.90, 2 Ta 2.94
Au  0.0000  0.0000  0.0000  4 Au 2.71-2.94, 4 Ru 2.90, 4 Ta 2.90
Au  0.5000  0.5000  0.0000  4 Au 2.71-2.94, 4 Ta 2.90, 4 Ru 2.90
Ru  0.5000  0.0000  0.5000  2 Ta 2.71, 8 Au 2.90, 2 Ru 2.94


Material: Mn2TlCr
Method: DFT, PBE-GGA
State: optimized geometry

## Properties
* ΔE to the lowest computed polymorph: 11.0 kJ per mole of atoms
* formation energy: 0.48 eV per atom

Cell lengths 4.9514, 4.9514, 4.5751 Å; angles 73.27, 73.27, 37.15 degrees
Last column: nearest neighbours and their distance in Å.
Fractional coordinates of all 4 atoms:
Mn  0.7427  0.7427  0.7725  2 Cr 2.61, 3 Mn 2.82, 3 Tl 2.86-2.87
Tl  0.5052  0.5052  0.5028  7 Mn 2.78-2.87, 3 Cr 2.89-2.93
Cr  0.2673  0.2673  0.2094  4 Mn 2.52-2.61
Mn  0.9848  0.9848  0.0153  2 Cr 2.52, 4 Tl 2.78-2.79, 3 Mn 2.82


For the records above, the corresponding size of the total moment values read 0.0; 0.0; 0.0; 0.0; 0.0; 0.0; 2.0; 0.0; 14.4; 0.0; 0.0; 3.3 Bohr magnetons per cell.